Record 1
Entry from the Alexandria database: a relaxed Cs4BaP6O18 crystal (PBE).

```
Cs4BaP6O18
1.0
-10.6952 -0.6199 4.8312
5.6023 -9.8377 -3.1538
3.8296 -0.5158 8.4116
Cs Ba P O
8 2 12 36
direct
0.0081 0.2388 0.0110 Cs
0.2388 0.0081 0.5110 Cs
0.9919 0.2306 0.5110 Cs
0.7612 0.7694 0.0110 Cs
0.7694 0.7612 0.5110 Cs
0.2306 0.9919 0.0110 Cs
0.6667 0.3333 0.7493 Cs
0.3333 0.6667 0.2493 Cs
0.3333 0.6667 0.7593 Ba
0.6667 0.3333 0.2593 Ba
0.5446 0.9964 0.4943 P
0.2862 0.3089 0.7459 P
0.4554 0.4518 0.9943 P
0.3089 0.2862 0.2459 P
0.9964 0.5446 0.9943 P
0.6911 0.9773 0.7459 P
0.7138 0.0227 0.2459 P
0.0036 0.5482 0.4943 P
0.0227 0.7138 0.7459 P
0.4518 0.4554 0.4943 P
0.5482 0.0036 0.9943 P
0.9773 0.6911 0.2459 P
0.6761 0.0234 0.5845 O
0.0234 0.6761 0.0845 O
0.9525 0.5766 0.8387 O
0.3759 0.4234 0.3387 O
0.3473 0.3239 0.5845 O
0.3239 0.3473 0.0845 O
0.5766 0.9525 0.3387 O
0.5764 0.4539 0.0493 O
0.4236 0.8776 0.5493 O
0.9531 0.7890 0.7749 O
0.9766 0.6527 0.5845 O
0.1253 0.5481 0.9802 O
0.1224 0.5461 0.5493 O
0.7890 0.9531 0.2749 O
0.1641 0.2110 0.2749 O
0.8747 0.4228 0.4802 O
0.3884 0.2193 0.2615 O
0.6527 0.9766 0.0845 O
0.4519 0.5772 0.9802 O
0.8776 0.4236 0.0493 O
0.5772 0.4519 0.4802 O
0.4539 0.5764 0.5493 O
0.2110 0.1641 0.7749 O
0.0475 0.6241 0.3387 O
0.6116 0.8308 0.7615 O
0.5481 0.1253 0.4802 O
0.5461 0.1224 0.0493 O
0.7807 0.1692 0.2615 O
0.1692 0.7807 0.7615 O
0.6241 0.0475 0.8387 O
0.8308 0.6116 0.2615 O
0.4228 0.8747 0.9802 O
0.4234 0.3759 0.8387 O
0.2193 0.3884 0.7615 O
0.0469 0.8359 0.2749 O
0.8359 0.0469 0.7749 O
```

Values from the calculation:
- SG: P31c, No. 159
- Density: 3428 kg/m3
- Energy relative to the elements, uncorrected: -2.35 eV per atom
- Final energy: -390.56 eV per cell


Record 2
Entry from the Alexandria database: a relaxed CsBaP2O6 crystal (PBE).

```
CsBaP2O6
1.0
-6.6366 -3.8471 -0.7456
2.0354 -1.6277 -7.2532
3.8956 -4.5045 3.6550
Cs Ba P O
2 2 4 12
direct
0.1549 0.8451 0.2500 Cs
0.8451 0.1549 0.7500 Cs
0.6248 0.3752 0.2500 Ba
0.3752 0.6248 0.7500 Ba
0.3207 0.1628 0.7546 P
0.8372 0.6793 0.7454 P
0.6793 0.8372 0.2454 P
0.1628 0.3207 0.2546 P
0.9667 0.3546 0.2094 O
0.6454 0.0333 0.2906 O
0.0333 0.6454 0.7906 O
0.3546 0.9667 0.7094 O
0.2288 0.1861 0.0937 O
0.8139 0.7712 0.4063 O
0.7712 0.8139 0.9063 O
0.1861 0.2288 0.5937 O
0.2949 0.4845 0.3525 O
0.5155 0.7051 0.1475 O
0.7051 0.5155 0.6475 O
0.4845 0.2949 0.8525 O
```

Values from the calculation:
- SG: C2/c, No. 15
- Density: 3593 kg/m3
- Energy relative to the elements, uncorrected: -2.19 eV per atom
- Final energy: -130.49 eV per cell


Record 3
Entry from the Alexandria database: a relaxed Cs2BaP2O7 crystal (PBE).

```
Cs2BaP2O7
1.0
-3.4010 -0.2044 -5.2115
0.6915 -4.7339 -3.9851
-6.1158 -5.3950 0.4832
Cs Ba P O
2 1 2 7
direct
0.7158 0.7158 0.8525 Cs
0.2842 0.2842 0.1475 Cs
0.5000 0.5000 0.5000 Ba
0.9263 0.9263 0.2211 P
0.0737 0.0737 0.7789 P
0.1838 0.7708 0.2745 O
0.7709 0.1838 0.2745 O
0.7708 0.7709 0.2745 O
0.2291 0.2292 0.7255 O
0.8162 0.2291 0.7255 O
0.0000 0.0000 0.0000 O
0.2292 0.8162 0.7255 O
```

Values from the calculation:
- SG: R-3m, No. 166
- Distance to the lowest polymorph of the same formula: 23 meV/atom
- Density: 3891 kg/m3
- Energy relative to the elements, uncorrected: -2.46 eV per atom
- Final energy: -78.72 eV per cell


Record 4
Entry from the Alexandria database: a relaxed Cs2BaP2O7 crystal (PBE).

```
Cs2BaP2O7
1.0
6.2938 0.0000 0.0000
0.0000 10.8931 0.0621
0.0000 -3.6192 13.7025
Cs Ba P O
8 4 8 28
direct
0.7395 0.8682 0.3538 Cs
0.7605 0.3682 0.8538 Cs
0.2605 0.1318 0.6462 Cs
0.2395 0.6318 0.1462 Cs
0.7306 0.1394 0.1764 Cs
0.7694 0.6394 0.6764 Cs
0.2694 0.8606 0.8236 Cs
0.2306 0.3606 0.3236 Cs
0.7568 0.2534 0.4891 Ba
0.7432 0.7534 0.9891 Ba
0.2432 0.7466 0.5109 Ba
0.2568 0.2466 0.0109 Ba
0.2279 0.9565 0.1376 P
0.2721 0.4565 0.6376 P
0.7721 0.0435 0.8624 P
0.7279 0.5435 0.3624 P
0.7448 0.4660 0.1410 P
0.7552 0.9660 0.6410 P
0.2552 0.5340 0.8590 P
0.2448 0.0340 0.3590 P
0.5323 0.3975 0.1435 O
0.9677 0.8975 0.6435 O
0.4677 0.6025 0.8565 O
0.0323 0.1025 0.3565 O
0.2279 0.0971 0.1367 O
0.2721 0.5971 0.6367 O
0.7721 0.9029 0.8633 O
0.7279 0.4029 0.3633 O
0.0074 0.8942 0.1196 O
0.4926 0.3942 0.6196 O
0.9926 0.1058 0.8804 O
0.5074 0.6058 0.3804 O
0.2979 0.9467 0.2481 O
0.2021 0.4467 0.7481 O
0.7021 0.0533 0.7519 O
0.7979 0.5533 0.2519 O
0.4023 0.8786 0.0741 O
0.0977 0.3786 0.5741 O
0.5977 0.1214 0.9259 O
0.9023 0.6214 0.4259 O
0.7356 0.5657 0.0812 O
0.7644 0.0657 0.5812 O
0.2644 0.4343 0.9188 O
0.2356 0.9343 0.4188 O
0.9352 0.3758 0.1143 O
0.5648 0.8758 0.6143 O
0.0648 0.6242 0.8857 O
0.4352 0.1242 0.3857 O
```

Values from the calculation:
- SG: P2_1/c, No. 14
- Distance to the lowest polymorph of the same formula: 0 meV/atom
- Density: 4074 kg/m3
- Energy relative to the elements, uncorrected: -2.49 eV per atom
- Final energy: -316.01 eV per cell